Density functional theory data (GGA-PBE) for an optimized crystal structure of LiIn2Rh2.

Cell lengths 4.0137, 4.0137, 12.6189 Å; angles 90.00, 90.00, 90.00 degrees
Closest atoms and distances in Å follow each position.
Element x y z (fractional)
1 Li 0.0000 0.0000 0.0000  8 In 3.17
2 Li 0.5000 0.5000 0.5000  8 In 3.17
3 In 0.0000 0.0000 0.3885  4 Rh 2.66, 1 In 2.81
4 In 0.0000 0.0000 0.6115  4 Rh 2.66, 1 In 2.81
5 In 0.5000 0.5000 0.1115  4 Rh 2.66, 1 In 2.81
6 In 0.5000 0.5000 0.8885  4 Rh 2.66, 1 In 2.81
7 Rh 0.0000 0.5000 0.2500  4 In 2.66, 4 Rh 2.84
8 Rh 0.0000 0.5000 0.7500  4 In 2.66, 4 Rh 2.84
9 Rh 0.5000 0.0000 0.2500  4 In 2.66, 4 Rh 2.84
10 Rh 0.5000 0.0000 0.7500  4 In 2.66, 4 Rh 2.84

Summary:
Symmetry: I4/mmm
ΔH_f (0 K) (eV per formula unit): -0.29
Fermi-level density of states (states/eV/f.u.): 3.7
Size of the total moment (μB per formula unit): 0.000



Density functional theory data (GGA-PBE) for an optimized crystal structure of Mg4Mo5.

Cell lengths 6.8550, 6.8550, 6.8550 Å; angles 93.62, 93.62, 150.89 degrees
Closest atoms and distances in Å follow each position.
Element x y z (fractional)
1 Mg 0.0000 0.3251 0.3251  7 Mo 2.76-3.09, 4 Mg 2.89
2 Mg 0.0000 0.6749 0.6749  7 Mo 2.76-3.09, 4 Mg 2.89
3 Mg 0.3251 0.0000 0.3251  7 Mo 2.76-3.09, 4 Mg 2.89
4 Mg 0.6749 0.0000 0.6749  7 Mo 2.76-3.09, 4 Mg 2.89
5 Mo 0.0000 0.0000 0.0000  8 Mo 2.85, 4 Mg 3.05
6 Mo 0.3292 0.3292 0.6583  4 Mo 2.72-2.85, 4 Mg 2.76
7 Mo 0.3292 0.6708 0.0000  4 Mo 2.72-2.85, 4 Mg 2.76
8 Mo 0.6708 0.3292 0.0000  4 Mo 2.72-2.85, 4 Mg 2.76
9 Mo 0.6708 0.6708 0.3417  4 Mo 2.72-2.85, 4 Mg 2.76

Summary:
Symmetry: I4/mmm
ΔH_f (0 K) (eV per formula unit): 3.03
Fermi-level density of states (states/eV/f.u.): 5.9
Size of the total moment (μB per formula unit): 0.000



Density functional theory data (GGA-PBE) for an optimized crystal structure of Zr3Te.

Cell lengths 5.7581, 5.7581, 9.9323 Å; angles 91.40, 91.40, 58.40 degrees
Closest atoms and distances in Å follow each position.
Element x y z (fractional)
1 Zr 0.0000 0.0000 0.0000  2 Te 2.81, 4 Zr 3.05-3.11
2 Zr 0.2919 0.0443 0.7414  3 Te 2.88-3.10, 5 Zr 2.88-3.20
3 Zr 0.4020 0.2627 0.0742  3 Te 2.97-3.20, 2 Zr 3.05-3.10
4 Zr 0.4439 0.1480 0.4301  3 Te 3.10-3.24, 8 Zr 3.20-3.43
5 Zr 0.7373 0.5980 0.9258  3 Te 2.97-3.20, 2 Zr 3.05-3.10
6 Zr 0.7500 0.1109 0.7104  5 Zr 2.88-3.22, 3 Te 2.94-3.16
7 Zr 0.8520 0.5561 0.5699  3 Te 3.10-3.24, 8 Zr 3.20-3.43
8 Zr 0.8891 0.2500 0.2896  5 Zr 2.88-3.22, 3 Te 2.94-3.16
9 Zr 0.9557 0.7081 0.2586  3 Te 2.88-3.10, 5 Zr 2.88-3.20
10 Te 0.2206 0.7794 0.5000  8 Zr 2.95-3.22
11 Te 0.2310 0.5594 0.8155  7 Zr 2.81-3.11
12 Te 0.4406 0.7690 0.1845  7 Zr 2.81-3.11

Summary:
Symmetry: C2
Fermi-level density of states (states/eV/f.u.): 4.2
Size of the total moment (μB per formula unit): 0.000
ΔE_f (raw) (eV per formula unit): -1.20



Density functional theory data (GGA-PBE) for an optimized crystal structure of Li2LaNd2Sb2.

Cell lengths 9.8082, 9.8082, 9.8082 Å; angles 28.40, 28.40, 28.40 degrees
Closest atoms and distances in Å follow each position.
Element x y z (fractional)
1 Li 0.0907 0.0907 0.0907  3 Sb 2.78
2 Li 0.9093 0.9093 0.9093  3 Sb 2.78
3 La 0.5000 0.5000 0.5000  6 Sb 3.41, 6 Li 3.51, 2 Nd 3.69
4 Nd 0.3694 0.3694 0.3694  3 Li 3.18, 3 Sb 3.26, 3 Nd 3.44
5 Nd 0.6306 0.6306 0.6306  3 Li 3.18, 3 Sb 3.26, 3 Nd 3.44
6 Sb 0.2370 0.2370 0.2370  3 Li 2.78
7 Sb 0.7630 0.7630 0.7630  3 Li 2.78

Summary:
Symmetry: R-3m
Fermi-level density of states (states/eV/f.u.): 5.5
Size of the total moment (μB per formula unit): 0.000
ΔE_f (raw) (eV per formula unit): -4.47



Density functional theory data (GGA-PBE) for an optimized crystal structure of TlPdBr3.

Cell lengths 6.7792, 10.8223, 4.5380 Å; angles 90.00, 90.00, 90.00 degrees
Closest atoms and distances in Å follow each position.
Element x y z (fractional)
1 Tl 0.0000 0.1111 0.0000  4 Br 3.10-3.40
2 Tl 0.5000 0.8889 0.5000  4 Br 3.10-3.40
3 Pd 0.0000 0.5011 0.7103  4 Br 2.47-2.48
4 Pd 0.5000 0.4989 0.2103  4 Br 2.47-2.48
5 Br 0.0000 0.9157 0.4998  4 Tl 3.10-3.40
6 Br 0.2495 0.3705 0.4651  2 Pd 2.47-2.48
7 Br 0.2505 0.6295 0.9651  2 Pd 2.47-2.48
8 Br 0.5000 0.0843 0.9998  4 Tl 3.10-3.40
9 Br 0.7505 0.3705 0.4651  2 Pd 2.47-2.48
10 Br 0.7495 0.6295 0.9651  2 Pd 2.47-2.48

Summary:
Symmetry: Pmn2_1
Size of the total moment (μB per formula unit): 0.000
ΔE_f (raw) (eV per formula unit): -2.46



Density functional theory data (GGA-PBE) for an optimized crystal structure of CsNb2Te2.

Cell lengths 4.1109, 4.1109, 17.7738 Å; angles 90.00, 90.00, 90.00 degrees
Closest atoms and distances in Å follow each position.
Element x y z (fractional)
1 Cs 0.0000 0.0000 0.0000  8 Te 3.82, 4 Cs 4.11
2 Cs 0.5000 0.5000 0.5000  8 Te 3.82, 4 Cs 4.11
3 Nb 0.0000 0.5000 0.2500  4 Te 2.85, 4 Nb 2.91
4 Nb 0.0000 0.5000 0.7500  4 Te 2.85, 4 Nb 2.91
5 Nb 0.5000 0.0000 0.2500  4 Te 2.85, 4 Nb 2.91
6 Nb 0.5000 0.0000 0.7500  4 Te 2.85, 4 Nb 2.91
7 Te 0.0000 0.0000 0.3610  4 Nb 2.85
8 Te 0.0000 0.0000 0.6390  4 Nb 2.85
9 Te 0.5000 0.5000 0.1390  4 Nb 2.85
10 Te 0.5000 0.5000 0.8610  4 Nb 2.85

Summary:
Symmetry: I4/mmm
Fermi-level density of states (states/eV/f.u.): 1.0
Size of the total moment (μB per formula unit): 0.000
ΔE_f (raw) (eV per formula unit): -2.67



Density functional theory data (GGA-PBE) for an optimized crystal structure of HfSc2Ag.

Cell lengths 3.2264, 3.2264, 8.3138 Å; angles 90.00, 90.00, 90.00 degrees
Closest atoms and distances in Å follow each position.
Element x y z (fractional)
1 Hf 0.0000 0.0000 0.0000  8 Sc 3.16, 4 Hf 3.23
2 Sc 0.5000 0.5000 0.2635  4 Ag 3.01, 4 Hf 3.16, 4 Sc 3.23
3 Sc 0.5000 0.5000 0.7365  4 Ag 3.01, 4 Hf 3.16, 4 Sc 3.23
4 Ag 0.0000 0.0000 0.5000  8 Sc 3.01, 4 Ag 3.23

Summary:
Symmetry: P4/mmm
ΔH_f (0 K) (eV per formula unit): -0.50
Fermi-level density of states (states/eV/f.u.): 5.3
Size of the total moment (μB per formula unit): 0.000



Density functional theory data (GGA-PBE) for an optimized crystal structure of CsRb2HgBr4.

Cell lengths 8.3347, 8.3347, 16.9332 Å; angles 90.00, 90.00, 142.71 degrees
Closest atoms and distances in Å follow each position.
Element x y z (fractional)
1 Cs 0.1357 0.8643 0.7500  6 Br 3.76-4.18, 1 Hg 4.03
2 Cs 0.8643 0.1357 0.2500  6 Br 3.76-4.18, 1 Hg 4.03
3 Rb 0.3695 0.6305 0.5486  6 Br 3.43-3.62
4 Rb 0.3695 0.6305 0.9514  6 Br 3.43-3.62
5 Rb 0.6305 0.3695 0.0486  6 Br 3.43-3.62
6 Rb 0.6305 0.3695 0.4514  6 Br 3.43-3.62
7 Hg 0.1194 0.8806 0.2500  4 Br 2.78-3.06
8 Hg 0.8806 0.1194 0.7500  4 Br 2.78-3.06
9 Br 0.0000 0.0000 0.0000  4 Rb 3.47
10 Br 0.0000 0.0000 0.5000  4 Rb 3.47
11 Br 0.2608 0.7392 0.1268  1 Hg 3.06
12 Br 0.2608 0.7392 0.3732  1 Hg 3.06
13 Br 0.4316 0.5684 0.7500  2 Hg 2.78
14 Br 0.5684 0.4316 0.2500  2 Hg 2.78
15 Br 0.7392 0.2608 0.6268  1 Hg 3.06
16 Br 0.7392 0.2608 0.8732  1 Hg 3.06

Summary:
Symmetry: Cmcm
Fermi-level density of states (states/eV/f.u.): 1.4
Size of the total moment (μB per formula unit): 0.000
ΔE_f (raw) (eV per formula unit): -10.77



Density functional theory data (GGA-PBE) for an optimized crystal structure of SrBi12Ir4.

Cell lengths 8.5671, 8.5671, 8.5671 Å; angles 109.47, 109.47, 109.47 degrees
Closest atoms and distances in Å follow each position.
Element x y z (fractional)
1 Sr 0.0000 0.0000 0.0000  12 Bi 3.68
2 Bi 0.1589 0.3362 0.4951  2 Ir 2.77
3 Bi 0.1589 0.6638 0.8227  2 Ir 2.77
4 Bi 0.1773 0.8411 0.3362  2 Ir 2.77
5 Bi 0.3362 0.1773 0.8411  2 Ir 2.77
6 Bi 0.3362 0.4951 0.1589  2 Ir 2.77
7 Bi 0.4951 0.1589 0.3362  2 Ir 2.77
8 Bi 0.5049 0.8411 0.6638  2 Ir 2.77
9 Bi 0.6638 0.5049 0.8411  2 Ir 2.77
10 Bi 0.6638 0.8227 0.1589  2 Ir 2.77
11 Bi 0.8227 0.1589 0.6638  2 Ir 2.77
12 Bi 0.8411 0.3362 0.1773  2 Ir 2.77
13 Bi 0.8411 0.6638 0.5049  2 Ir 2.77
14 Ir 0.0000 0.0000 0.5000  6 Bi 2.77
15 Ir 0.0000 0.5000 0.0000  6 Bi 2.77
16 Ir 0.5000 0.0000 0.0000  6 Bi 2.77
17 Ir 0.5000 0.5000 0.5000  6 Bi 2.77

Summary:
Symmetry: Im-3
ΔH_f (0 K) (eV per formula unit): -2.25
Fermi-level density of states (states/eV/f.u.): 4.3
Size of the total moment (μB per formula unit): 0.000



Density functional theory data (GGA-PBE) for an optimized crystal structure of LaSm2DyHo5.

Cell lengths 9.8649, 9.8649, 9.8649 Å; angles 127.17, 127.17, 77.97 degrees
Closest atoms and distances in Å follow each position.
Element x y z (fractional)
1 La 0.2500 0.2500 0.0000  10 Ho 3.61-3.83
2 La 0.7500 0.7500 0.0000  10 Ho 3.61-3.83
3 Sm 0.1160 0.6160 0.7320  1 Sm 2.88, 2 Ho 3.01
4 Sm 0.3840 0.1160 0.5000  1 Sm 2.88, 2 Ho 3.01
5 Sm 0.6160 0.8840 0.5000  1 Sm 2.88, 2 Ho 3.01
6 Sm 0.8840 0.3840 0.2680  1 Sm 2.88, 2 Ho 3.01
7 Dy 0.2500 0.7500 0.5000  4 Ho 3.13
8 Dy 0.7500 0.2500 0.5000  4 Ho 3.13
9 Ho 0.0000 0.0000 0.0000  4 Sm 3.52, 8 Ho 3.77, 2 La 3.83
10 Ho 0.0730 0.1572 0.5000  1 Sm 3.01, 1 Dy 3.13
11 Ho 0.1572 0.6572 0.0843  1 Sm 3.01, 1 Dy 3.13
12 Ho 0.3428 0.4270 0.5000  1 Sm 3.01, 1 Dy 3.13
13 Ho 0.4270 0.9270 0.0843  1 Sm 3.01, 1 Dy 3.13
14 Ho 0.5000 0.5000 0.0000  4 Sm 3.52, 8 Ho 3.77, 2 La 3.83
15 Ho 0.5730 0.0730 0.9157  1 Sm 3.01, 1 Dy 3.13
16 Ho 0.6572 0.5730 0.5000  1 Sm 3.01, 1 Dy 3.13
17 Ho 0.8428 0.3428 0.9157  1 Sm 3.01, 1 Dy 3.13
18 Ho 0.9270 0.8428 0.5000  1 Sm 3.01, 1 Dy 3.13

Summary:
Symmetry: I4/mcm
ΔH_f (0 K) (eV per formula unit): 2.39
Fermi-level density of states (states/eV/f.u.): 10.1
Size of the total moment (μB per formula unit): 0.001



Density functional theory data (GGA-PBE) for an optimized crystal structure of Na2MgMnS.

Cell lengths 5.4869, 5.4869, 5.0130 Å; angles 90.00, 90.00, 90.00 degrees
Closest atoms and distances in Å follow each position.
Element x y z (fractional)
1 Na 0.0000 0.5000 0.0000  2 Mg 2.74
2 Na 0.5000 0.0000 0.0000  2 Mg 2.74
3 Mg 0.0000 0.0000 0.0000  2 Mn 2.51, 4 Na 2.74
4 Mn 0.0000 0.0000 0.5000  2 Mg 2.51
5 S 0.5000 0.5000 0.5000  8 Na 3.72, 4 Mn 3.88

Summary:
Symmetry: P4/mmm
Fermi-level density of states (states/eV/f.u.): 4.8
Size of the total moment (μB per formula unit): 4.276
ΔE_f (raw) (eV per formula unit): 3.57



Density functional theory data (GGA-PBE) for an optimized crystal structure of TiIOF2.

Cell lengths 5.0171, 5.0171, 4.0216 Å; angles 90.00, 90.00, 90.00 degrees
Closest atoms and distances in Å follow each position.
Element x y z (fractional)
1 Ti 0.0000 0.0000 0.0000  8 F 3.21, 4 O 3.55
2 I 0.5000 0.5000 0.5000  2 O 2.01
3 O 0.5000 0.5000 0.0000  2 I 2.01
4 F 0.0000 0.5000 0.5000  2 I 2.51
5 F 0.5000 0.0000 0.5000  2 I 2.51

Summary:
Symmetry: P4/mmm
Fermi-level density of states (states/eV/f.u.): 4.7
Size of the total moment (μB per formula unit): 2.458
ΔE_f (raw) (eV per formula unit): -1.04